The following is a PBE calculation of an optimized crystal structure of HfTcAs2Se, from Alexandria.

Values from the calculation:
N(E_F): 4.4 states/eV/cell
Energy above the lowest structure with this stoichiometry: 0.0 meV per atom
DFT total energy: -6.109 eV/atom
Formation energy from raw total energies: 0.511 eV/atom
M_tot: 0.0 μB per formula unit

Cell lengths 4.6596, 4.6596, 5.1859 Å; angles 90.00, 90.00, 90.00 degrees
With the nearest neighbours (Å) after each atom.
Atoms (fractional coordinates):
1 As 0.0000 0.5000 0.0000  2 Tc 2.33
2 As 0.5000 0.0000 0.0000  2 Tc 2.33
3 Hf 0.5000 0.5000 0.5000  4 Se 3.29, 8 As 3.49
4 Tc 0.0000 0.0000 0.0000  4 As 2.33, 2 Se 2.59
5 Se 0.0000 0.0000 0.5000  2 Tc 2.59